Version P
Material: LaPm2Sm8
Method: DFT, PBE-GGA
State: relaxed

Geometry as POSCAR:
```
LaPm2Sm8
1.0
-2.834 4.173 8.062
2.834 -4.173 8.062
2.834 4.173 -8.062
La Pm Sm
1 2 8
Direct
0.000 0.000 0.000
0.300 0.300 0.000
0.700 0.700 0.000
0.156 0.861 0.295
0.161 0.661 0.500
0.295 0.500 0.795
0.434 0.139 0.295
0.566 0.861 0.705
0.705 0.500 0.205
0.839 0.339 0.500
0.844 0.139 0.705
```

Computed properties:
**SG**: Immm, No. 71
**V**: 381.45 Å³ per cell
**Total magnetization**: 0.00 Bohr magnetons per cell

---

Version Q
Material: LaPm2Sm8
Method: DFT, PBE-GGA
State: relaxed

Geometry as POSCAR:
```
LaPm2Sm8
1.0
9.716 -3.562 0.000
9.716 3.562 0.000
-0.333 0.000 5.671
La Pm Sm
1 2 8
Direct
0.000 0.000 0.000
0.284 0.284 0.745
0.716 0.716 0.255
0.136 0.601 0.268
0.188 0.188 0.233
0.399 0.864 0.732
0.455 0.455 0.761
0.545 0.545 0.239
0.601 0.136 0.268
0.812 0.812 0.767
0.864 0.399 0.732
```

Computed properties:
**SG**: C2/m, No. 12
**V**: 392.52 Å³ per cell
**Total magnetization**: 0.00 Bohr magnetons per cell

---

Here are the energies relative to the best structure, in meV per atom: version P 0; version Q 34.

---

Version P
Material: La3Pm5Sm4
Method: DFT, PBE-GGA
State: relaxed

Geometry as POSCAR:
```
La3Pm5Sm4
1.0
8.238 -3.039 0.000
8.238 3.039 0.000
-4.188 0.000 8.488
La Pm Sm
3 5 4
Direct
0.000 0.000 0.000
0.295 0.295 0.781
0.705 0.705 0.219
0.074 0.074 0.699
0.173 0.173 0.395
0.500 0.500 0.000
0.827 0.827 0.605
0.926 0.926 0.301
0.292 0.292 0.129
0.419 0.419 0.562
0.581 0.581 0.438
0.708 0.708 0.871
```

Computed properties:
**SG**: C2/m, No. 12
**V**: 425.06 Å³ per cell
**Total magnetization**: 0.24 Bohr magnetons per cell

---

Version Q
Material: La3Pm5Sm4
Method: DFT, PBE-GGA
State: relaxed

Geometry as POSCAR:
```
La3Pm5Sm4
1.0
6.360 0.000 0.000
0.011 7.324 0.000
0.017 0.004 9.004
La Pm Sm
3 5 4
Direct
0.000 0.000 0.000
0.166 0.251 0.333
0.834 0.749 0.667
0.000 0.500 0.000
0.334 0.000 0.667
0.498 0.749 0.000
0.502 0.251 0.000
0.666 0.000 0.333
0.169 0.749 0.334
0.333 0.500 0.667
0.667 0.500 0.333
0.831 0.251 0.666
```

Computed properties:
**SG**: P-1, No. 2
**V**: 419.43 Å³ per cell
**Total magnetization**: 0.00 Bohr magnetons per cell

---

Here are the energies relative to the best structure, in meV per atom: version P 189; version Q 0.